1.
The following is a DFT calculation (GGA-PBEsol) of a geometry-optimized Dy2InAu2 structure.

## Properties
Crystal system   tetragonal
ΔE_f   -847 meV/atom
DFT total energy   -5.0043 eV/atom

Geometry as CIF:
```
data_Dy2InAu2
_chemical_formula_sum 'Dy4 In2 Au4'
_symmetry_space_group_name_H-M 'P 4/m b m'
_symmetry_Int_Tables_number 127
_symmetry_space_group_name_Hall '-P 4 2ab'
_cell_length_a 7.813
_cell_length_b 7.813
_cell_length_c 3.677
_cell_angle_alpha 90.00
_cell_angle_beta 90.00
_cell_angle_gamma 90.00
loop_
_atom_site_label
_atom_site_fract_x
_atom_site_fract_y
_atom_site_fract_z
Dy1 0.169 0.331 0.000
In1 0.000 0.000 0.500
Au1 0.129 0.629 0.500
```

=====

2.
The following is a DFT calculation (GGA-PBEsol) of a geometry-optimized Dy2IrAu structure.

## Properties
Crystal system   tetragonal
ΔE_f   -824 meV/atom
DFT total energy   -6.7497 eV/atom

Geometry as CIF:
```
data_Dy2IrAu
_chemical_formula_sum 'Dy4 Ir2 Au2'
_symmetry_space_group_name_H-M 'I 4/m m m'
_symmetry_Int_Tables_number 139
_symmetry_space_group_name_Hall '-I 4 2'
_cell_length_a 4.884
_cell_length_b 4.884
_cell_length_c 6.894
_cell_angle_alpha 90.00
_cell_angle_beta 90.00
_cell_angle_gamma 90.00
loop_
_atom_site_label
_atom_site_fract_x
_atom_site_fract_y
_atom_site_fract_z
Dy1 0.000 0.500 0.250
Ir1 0.000 0.000 0.000
Au1 0.000 0.000 0.500
```

=====

3.
The following is a DFT calculation (GGA-PBEsol) of a geometry-optimized DyMgAu structure.

## Properties
Crystal system   hexagonal
ΔE_f   -687 meV/atom
DFT total energy   -4.2265 eV/atom

Geometry as CIF:
```
data_DyMgAu
_chemical_formula_sum 'Dy3 Mg3 Au3'
_symmetry_space_group_name_H-M 'P -6 2 m'
_symmetry_Int_Tables_number 189
_symmetry_space_group_name_Hall 'P -6 -2'
_cell_length_a 7.5160
_cell_length_b 7.5160
_cell_length_c 4.0205
_cell_angle_alpha 90.00
_cell_angle_beta 90.00
_cell_angle_gamma 120.00
loop_
_atom_site_label
_atom_site_fract_x
_atom_site_fract_y
_atom_site_fract_z
Dy1 0.0000 0.5881 0.0000
Mg1 0.0000 0.2473 0.5000
Au1 0.0000 0.0000 0.0000
Au2 0.3333 0.6667 0.5000
```

=====

4.
The following is a DFT calculation (GGA-PBEsol) of a geometry-optimized Dy3Sb4Au3 structure.

## Properties
Crystal system   cubic
E_form (uncorrected)   -872 meV per atom
DFT total energy   -5.3656 eV/atom

Geometry as CIF:
```
data_Dy3Sb4Au3
_chemical_formula_sum 'Dy12 Sb16 Au12'
_symmetry_space_group_name_H-M 'I -4 3 d'
_symmetry_Int_Tables_number 220
_symmetry_space_group_name_Hall 'I -4bd 2c 3'
_cell_length_a 9.773
_cell_length_b 9.773
_cell_length_c 9.773
_cell_angle_alpha 90.00
_cell_angle_beta 90.00
_cell_angle_gamma 90.00
loop_
_atom_site_label
_atom_site_fract_x
_atom_site_fract_y
_atom_site_fract_z
Dy1 0.000 0.250 0.875
Sb1 0.090 0.410 0.590
Au1 0.000 0.250 0.375
```

=====

5.
The following is a DFT calculation (GGA-PBEsol) of a geometry-optimized Dy5SbAu2 structure.

## Properties
Crystal system   tetragonal
E_form (uncorrected)   -783 meV per atom
DFT total energy   -5.4449 eV/atom

Geometry as CIF:
```
data_Dy5SbAu2
_chemical_formula_sum 'Dy20 Sb4 Au8'
_symmetry_space_group_name_H-M 'I 4/m c m'
_symmetry_Int_Tables_number 140
_symmetry_space_group_name_Hall '-I 4 2c'
_cell_length_a 7.945
_cell_length_b 7.945
_cell_length_c 12.811
_cell_angle_alpha 90.00
_cell_angle_beta 90.00
_cell_angle_gamma 90.00
loop_
_atom_site_label
_atom_site_fract_x
_atom_site_fract_y
_atom_site_fract_z
Dy1 0.000 0.000 0.000
Dy2 0.156 0.344 0.143
Sb1 0.000 0.000 0.250
Au1 0.136 0.364 0.500
```

=====

6.
The following is a DFT calculation (GGA-PBEsol) of a geometry-optimized ErAu2 structure.

## Properties
Crystal system   tetragonal
ΔE_f   -900 meV/atom
DFT total energy   -5.1581 eV/atom

Geometry as CIF:
```
data_ErAu2
_chemical_formula_sum 'Er2 Au4'
_symmetry_space_group_name_H-M 'I 4/m m m'
_symmetry_Int_Tables_number 139
_symmetry_space_group_name_Hall '-I 4 2'
_cell_length_a 3.645
_cell_length_b 3.645
_cell_length_c 8.858
_cell_angle_alpha 90.00
_cell_angle_beta 90.00
_cell_angle_gamma 90.00
loop_
_atom_site_label
_atom_site_fract_x
_atom_site_fract_y
_atom_site_fract_z
Er1 0.000 0.000 0.000
Au1 0.000 0.000 0.334
```

=====

7.
The following is a DFT calculation (GGA-PBEsol) of a geometry-optimized ErAu structure.

## Properties
Crystal system   cubic
ΔE_f   -893 meV/atom
DFT total energy   -5.3188 eV/atom

Geometry as CIF:
```
data_ErAu
_chemical_formula_sum 'Er1 Au1'
_symmetry_space_group_name_H-M 'P m -3 m'
_symmetry_Int_Tables_number 221
_symmetry_space_group_name_Hall '-P 4 2 3'
_cell_length_a 3.508
_cell_length_b 3.508
_cell_length_c 3.508
_cell_angle_alpha 90.00
_cell_angle_beta 90.00
_cell_angle_gamma 90.00
loop_
_atom_site_label
_atom_site_fract_x
_atom_site_fract_y
_atom_site_fract_z
Er1 0.000 0.000 0.000
Au1 0.500 0.500 0.500
```

=====

8.
The following is a DFT calculation (GGA-PBEsol) of a geometry-optimized ErAu4 structure.

## Properties
Crystal system   tetragonal
ΔE_f   -625 meV/atom
DFT total energy   -4.7498 eV/atom

Geometry as CIF:
```
data_ErAu4
_chemical_formula_sum 'Er2 Au8'
_symmetry_space_group_name_H-M 'I 4/m'
_symmetry_Int_Tables_number 87
_symmetry_space_group_name_Hall '-I 4'
_cell_length_a 6.640
_cell_length_b 6.640
_cell_length_c 4.119
_cell_angle_alpha 90.00
_cell_angle_beta 90.00
_cell_angle_gamma 90.00
loop_
_atom_site_label
_atom_site_fract_x
_atom_site_fract_y
_atom_site_fract_z
Er1 0.000 0.000 0.000
Au1 0.100 0.301 0.500
```